1.
# Rb3Tm3GeS8

A relaxed Rb3Tm3GeS8 crystal (PBE-GGA, the Alexandria database).

Unit cell a=7.8229 b=7.8229 c=23.5526 alpha=90.00 beta=90.00 gamma=120.00
Space group R-3m (No. 166, hexagonal axes)
Unique sites:
Rb 0.0000 0.5000 0.0000 x9
Tm 0.0000 0.5000 0.5000 x9
Ge 0.0000 0.0000 0.5000 x3
S 0.0000 0.0000 0.2294 x6
S 0.0257 0.5129 0.2261 x18

Calculated values
* ΔE_f (raw): -1481 meV/atom
* crystal system: trigonal
* total magnetization: 0.0 μB per cell
* theoretical density: 4.4 Mg/m³


2.
# RbTmGeS4

A relaxed RbTmGeS4 crystal (PBE-GGA, the Alexandria database).

Unit cell a=6.459 b=6.759 c=9.097 alpha=90.00 beta=107.88 gamma=90.00
Space group P2_1/m (No. 11)
Unique sites:
Rb 0.239 0.250 0.440 x2
Tm 0.280 0.250 0.952 x2
Ge 0.269 0.750 0.162 x2
S 0.050 0.750 0.922 x2
S 0.066 0.750 0.317 x2
S 0.495 0.503 0.804 x4

Calculated values
* ΔE_f (raw): -1236 meV/atom
* crystal system: monoclinic
* total magnetization: 0.0 μB per cell
* theoretical density: 4.0 Mg/m³


3.
# Rb2UGe2S6

A relaxed Rb2UGe2S6 crystal (PBE-GGA, the Alexandria database).

Unit cell a=12.442 b=7.299 c=8.155 alpha=90.00 beta=122.12 gamma=90.00
Space group C2/m (No. 12)
Unique sites:
Rb 0.214 0.000 0.203 x4
U 0.000 0.000 0.500 x2
Ge 0.040 0.500 0.179 x4
S 0.044 0.248 0.774 x8
S 0.245 0.000 0.643 x4

Calculated values
* ΔE_f (raw): -896 meV/atom
* crystal system: monoclinic
* total magnetization: 4.0 μB per cell
* theoretical density: 4.0 Mg/m³